This record from the Alexandria database describes a geometry-optimized CoNiMo2 structure. The functional is PBE-GGA.

Properties
total magnetic moment: 0.68 μB per formula unit
E above lowest polymorph: 28.6 meV per atom
total energy: -8.61 eV/atom

Cell and atoms, written as CIF:
```
data_CoNiMo2
_cell_length_a 3.7544
_cell_length_b 3.7544
_cell_length_c 7.4844
_cell_angle_alpha 90.00
_cell_angle_beta 90.00
_cell_angle_gamma 90.00
_symmetry_space_group_name_H-M 'I 4/m m m'
_symmetry_Int_Tables_number 139
_symmetry_space_group_name_Hall '-I 4 2'
loop_
_atom_site_label
_atom_site_fract_x
_atom_site_fract_y
_atom_site_fract_z
_atom_site_occupancy
Co1 0.0000 0.0000 0.0000 1
Ni1 0.0000 0.0000 0.5000 1
Mo1 0.0000 0.5000 0.2500 1
```

---

This record from the Alexandria database describes a geometry-optimized Co3NiMo structure. The functional is PBE-GGA.

Properties
total magnetic moment: 4.09 μB per formula unit
E above lowest polymorph: 0.0 meV per atom
total energy: -7.25 eV/atom

Cell and atoms, written as CIF:
```
data_Co3NiMo
_cell_length_a 4.7489
_cell_length_b 4.9215
_cell_length_c 6.5322
_cell_angle_alpha 83.72
_cell_angle_beta 68.73
_cell_angle_gamma 61.36
_symmetry_space_group_name_H-M 'P -1'
_symmetry_Int_Tables_number 2
_symmetry_space_group_name_Hall '-P 1'
loop_
_atom_site_label
_atom_site_fract_x
_atom_site_fract_y
_atom_site_fract_z
_atom_site_occupancy
Co1 0.1376 0.3993 0.3154 1
Co2 0.1855 0.1947 0.9334 1
Co3 0.3508 0.5979 0.6846 1
Ni1 0.5000 0.0000 0.5000 1
Ni2 0.5000 0.5000 0.0000 1
Mo1 0.1468 0.9050 0.3002 1
```

---

- Which value of total magnetic moment does entry 2 give?
  4.09 μB per formula unit

---

Repeat the second record exactly.
This record from the Alexandria database describes a geometry-optimized Co3NiMo structure. The functional is PBE-GGA.

Properties
total magnetic moment: 4.09 μB per formula unit
E above lowest polymorph: 0.0 meV per atom
total energy: -7.25 eV/atom

Cell and atoms, written as CIF:
```
data_Co3NiMo
_cell_length_a 4.7489
_cell_length_b 4.9215
_cell_length_c 6.5322
_cell_angle_alpha 83.72
_cell_angle_beta 68.73
_cell_angle_gamma 61.36
_symmetry_space_group_name_H-M 'P -1'
_symmetry_Int_Tables_number 2
_symmetry_space_group_name_Hall '-P 1'
loop_
_atom_site_label
_atom_site_fract_x
_atom_site_fract_y
_atom_site_fract_z
_atom_site_occupancy
Co1 0.1376 0.3993 0.3154 1
Co2 0.1855 0.1947 0.9334 1
Co3 0.3508 0.5979 0.6846 1
Ni1 0.5000 0.0000 0.5000 1
Ni2 0.5000 0.5000 0.0000 1
Mo1 0.1468 0.9050 0.3002 1
```

---

- total energy of number 1 (CoNiMo2)?
  -8.61 eV/atom

---

- Among the records above, which one has the highest total magnetic moment?
  Co3NiMo